K3LaTb2Se6 | GGA-PBE | optimized geometry

Values from the calculation:
VASP energy: -0.3663 Ry per atom
DOS at the Fermi energy: 0.00 states/eV/f.u.
Raw formation energy: -1.79 eV per atom

abc: 7.4497 12.9057 8.0820
angles: 90.00 107.91 90.00
Last column: nearest neighbours and their distance in Å.
Space group C2/m (No. 12)
Inequivalent atoms, fractional coordinates:
K  0.0000  0.0000  0.0000 [2 per cell]  6 Se 3.29-3.38
K  0.0000  0.3347  0.0000 [4 per cell]  6 Se 3.30-3.38
La  0.0000  0.5000  0.5000 [2 per cell]  6 Se 3.02
Tb  0.0000  0.1668  0.5000 [4 per cell]  6 Se 2.92
Se  0.2255  0.0000  0.7076 [4 per cell]  2 Tb 2.92, 1 La 3.02
Se  0.2411  0.3282  0.7076 [8 per cell]  2 Tb 2.92, 1 La 3.02

KLaTb4Se8 | GGA-PBE | optimized geometry

Values from the calculation:
VASP energy: -0.4057 Ry per atom
DOS at the Fermi energy: 0.00 states/eV/f.u.
Raw formation energy: -1.78 eV per atom

abc: 8.5971 8.5971 21.7100
angles: 90.00 90.00 120.00
Last column: nearest neighbours and their distance in Å.
Space group R3m (No. 160, hexagonal axes)
Inequivalent atoms, fractional coordinates:
K  0.0000  0.0000  0.0000 [3 per cell]  4 Se 2.98-2.99
La  0.0000  0.0000  0.6331 [3 per cell]  6 Se 2.93-3.11
Tb  0.0000  0.0000  0.2553 [3 per cell]  4 Se 2.79-2.85
Tb  0.1727  0.3455  0.4610 [9 per cell]  6 Se 2.80-3.04
Se  0.0000  0.0000  0.3865 [3 per cell]  4 Tb 2.85-3.04
Se  0.0000  0.0000  0.8627 [3 per cell]  3 Tb 2.82, 1 K 2.98
Se  0.0354  0.5177  0.3881 [9 per cell]  2 Tb 2.80, 1 La 2.93, 1 K 2.99
Se  0.1735  0.3470  0.2074 [9 per cell]  3 Tb 2.79-3.03, 1 La 3.11

K4La3TbSe8 | GGA-PBE | optimized geometry

Values from the calculation:
VASP energy: -0.3705 Ry per atom
DOS at the Fermi energy: 0.00 states/eV/f.u.
Raw formation energy: -1.81 eV per atom

abc: 8.7825 8.7825 23.0538
angles: 90.00 90.00 120.00
Last column: nearest neighbours and their distance in Å.
Space group R-3m (No. 166, hexagonal axes)
Inequivalent atoms, fractional coordinates:
K  0.0000  0.0000  0.0000 [3 per cell]  6 Se 3.44
K  0.0000  0.5000  0.0000 [9 per cell]  6 Se 3.35-3.36
La  0.0000  0.5000  0.5000 [9 per cell]  6 Se 3.02-3.03
Tb  0.0000  0.0000  0.5000 [3 per cell]  6 Se 2.94
Se  0.0000  0.0000  0.2377 [6 per cell]  3 La 3.02, 3 K 3.36
Se  0.0095  0.5048  0.2363 [18 per cell]  1 Tb 2.94, 2 La 3.03

KLaTeSe | GGA-PBE | optimized geometry

Values from the calculation:
VASP energy: -0.3542 Ry per atom
DOS at the Fermi energy: 0.00 states/eV/f.u.
Raw formation energy: -1.66 eV per atom

abc: 4.5724 4.5724 23.8877
angles: 90.00 90.00 120.00
Last column: nearest neighbours and their distance in Å.
Space group R3m (No. 160, hexagonal axes)
Inequivalent atoms, fractional coordinates:
K  0.0000  0.0000  0.0000 [3 per cell]  3 Se 3.45, 3 Te 3.53
La  0.0000  0.0000  0.5097 [3 per cell]  3 Se 3.05, 3 Te 3.24
Te  0.0000  0.0000  0.7647 [3 per cell]  3 La 3.24, 3 K 3.53
Se  0.0000  0.0000  0.2404 [3 per cell]  3 La 3.05

K2LaTeSe4 | GGA-PBE | optimized geometry

Values from the calculation:
VASP energy: -0.3038 Ry per atom
DOS at the Fermi energy: 1.56 states/eV/f.u.
Raw formation energy: -1.11 eV per atom

abc: 12.4807 12.4269 8.8729
angles: 90.00 131.31 90.00
Last column: nearest neighbours and their distance in Å.
Space group C2/c (No. 15)
Inequivalent atoms, fractional coordinates:
K  0.0000  0.0000  0.0000 [4 per cell]  6 Se 3.24-3.62
K  0.2500  0.2500  0.0000 [4 per cell]  6 Se 3.27-3.46
La  0.0000  0.5000  0.0000 [4 per cell]  6 Se 3.01-3.08
Te  0.2500  0.2500  0.5000 [4 per cell]  4 Se 2.78-2.88
Se  0.0319  0.2596  0.5101 [8 per cell]  1 Te 2.78, 1 La 3.01
Se  0.2228  0.4803  0.4607 [8 per cell]  1 Te 2.88, 2 La 3.03-3.08

K3La2ThSe6 | GGA-PBE | optimized geometry

Values from the calculation:
VASP energy: -0.3810 Ry per atom
DOS at the Fermi energy: 5.17 states/eV/f.u.
Raw formation energy: -1.73 eV per atom

abc: 19.9367 4.3723 9.2395
angles: 90.00 107.30 90.00
Last column: nearest neighbours and their distance in Å.
Space group C2/m (No. 12)
Inequivalent atoms, fractional coordinates:
K  0.0000  0.0000  0.0000 [2 per cell]  6 Se 3.34-3.39
K  0.1683  0.5000  0.3329 [4 per cell]  6 Se 3.33-3.39
La  0.1668  0.5000  0.8353 [4 per cell]  6 Se 3.02-3.07
Th  0.0000  0.0000  0.5000 [2 per cell]  6 Se 2.95-2.98
Se  0.0054  0.5000  0.7231 [4 per cell]  2 Th 2.98, 1 La 3.07
Se  0.1548  0.0000  0.5968 [4 per cell]  1 Th 2.95, 2 La 3.06
Se  0.1741  0.0000  0.0654 [4 per cell]  3 La 3.02-3.03, 3 K 3.33-3.34

K2LaThSe4 | GGA-PBE | optimized geometry

Values from the calculation:
VASP energy: -0.3849 Ry per atom
DOS at the Fermi energy: 4.71 states/eV/f.u.
Raw formation energy: -1.68 eV per atom

abc: 7.5425 4.3370 8.1376
angles: 90.00 107.85 90.00
Last column: nearest neighbours and their distance in Å.
Space group P2/m (No. 10)
Inequivalent atoms, fractional coordinates:
K  0.0000  0.0000  0.0000 [1 per cell]  6 Se 3.37-3.39
K  0.5000  0.5000  0.0000 [1 per cell]  6 Se 3.31
La  0.0000  0.5000  0.5000 [1 per cell]  6 Se 3.04-3.05
Th  0.5000  0.0000  0.5000 [1 per cell]  6 Se 2.96-2.99
Se  0.2478  0.0000  0.7158 [2 per cell]  1 Th 2.96, 2 La 3.04, 2 K 3.31
Se  0.2690  0.5000  0.2858 [2 per cell]  2 Th 2.99, 1 La 3.05, 1 K 3.31

K4La3ThSe8 | GGA-PBE | optimized geometry

Values from the calculation:
VASP energy: -0.3791 Ry per atom
DOS at the Fermi energy: 5.91 states/eV/f.u.
Raw formation energy: -1.75 eV per atom

abc: 8.7945 8.7945 23.0833
angles: 90.00 90.00 120.00
Last column: nearest neighbours and their distance in Å.
Space group R-3m (No. 166, hexagonal axes)
Inequivalent atoms, fractional coordinates:
K  0.0000  0.0000  0.0000 [3 per cell]  6 Se 3.42
K  0.0000  0.5000  0.0000 [9 per cell]  6 Se 3.34-3.35
La  0.0000  0.5000  0.5000 [9 per cell]  6 Se 3.03-3.05
Th  0.0000  0.0000  0.5000 [3 per cell]  6 Se 2.96
Se  0.0000  0.0000  0.2384 [6 per cell]  3 La 3.03, 3 K 3.35
Se  0.0093  0.5046  0.2376 [18 per cell]  1 Th 2.96, 2 La 3.05

What is the DOS at the Fermi energy in the seventh record?
4.71 states/eV/f.u.